Entry 1:
LaNF | PBE | optimized geometry

```
data_LaNF
_chemical_formula_sum 'La4 N4 F4'
_space_group_name_H-M_alt 'I 4/m m m'
_space_group_IT_number 139
_space_group_name_Hall '-I 4 2'
_cell_length_a 3.6496
_cell_length_b 3.6496
_cell_length_c 14.0049
_cell_angle_alpha 90.00
_cell_angle_beta 90.00
_cell_angle_gamma 90.00
loop_
_atom_site_label
_atom_site_type_symbol
_atom_site_fract_x
_atom_site_fract_y
_atom_site_fract_z
La1 La 0.0000 0.0000 0.1179
N1 N 0.0000 0.5000 0.0000
F1 F 0.0000 0.0000 0.3091
```

Uncorrected energy in eV/cell: -84.4

Entry 2:
LaN2F3 | PBE | optimized geometry

```
data_LaN2F3
_chemical_formula_sum 'La4 N8 F12'
_space_group_name_H-M_alt 'C 1 2/c 1'
_space_group_IT_number 15
_space_group_name_Hall '-C 2yc'
_cell_length_a 4.5023
_cell_length_b 15.9962
_cell_length_c 7.3168
_cell_angle_alpha 90.00
_cell_angle_beta 98.21
_cell_angle_gamma 90.00
loop_
_atom_site_label
_atom_site_type_symbol
_atom_site_fract_x
_atom_site_fract_y
_atom_site_fract_z
La1 La 0.0000 0.0405 0.2500
N1 N 0.1945 0.2327 0.0518
F1 F 0.0000 0.4203 0.7500
F2 F 0.1262 0.0704 0.5690
```

Uncorrected energy in eV/cell: -172.9

Entry 3:
LaNF3 | PBE | optimized geometry

```
data_LaNF3
_chemical_formula_sum 'La4 N4 F12'
_space_group_name_H-M_alt 'P 1 21/c 1'
_space_group_IT_number 14
_space_group_name_Hall '-P 2ybc'
_cell_length_a 8.0404
_cell_length_b 7.6690
_cell_length_c 9.3536
_cell_angle_alpha 90.00
_cell_angle_beta 125.24
_cell_angle_gamma 90.00
loop_
_atom_site_label
_atom_site_type_symbol
_atom_site_fract_x
_atom_site_fract_y
_atom_site_fract_z
La1 La 0.0061 0.2500 0.0032
N1 N 0.4971 0.7416 0.4985
F1 F 0.0075 0.2500 0.2538
F2 F 0.2079 0.5039 0.1029
F3 F 0.2079 0.5039 0.6034
```

Polymorph energy (0 for the lowest one) in meV per atom: 73.6